1.
{
  "formula": "Pm3Mg7Pd2",
  "functional": "PBE-GGA",
  "state": "relaxed",
  "lattice": [[-2.803, -1.732, -4.971], [2.179, -4.513, -3.234], [-5.308, -8.109, 2.241]],
  "species": ["Pm", "Pm", "Pm", "Mg", "Mg", "Mg", "Mg", "Mg", "Mg", "Mg", "Pd", "Pd"],
  "frac_coords": [[0.000, 0.000, 0.000], [0.853, 0.853, 0.440], [0.147, 0.147, 0.560], [0.500, 0.500, 0.500], [0.927, 0.424, 0.224], [0.424, 0.927, 0.224], [0.424, 0.424, 0.224], [0.073, 0.576, 0.776], [0.576, 0.576, 0.776], [0.576, 0.073, 0.776], [0.666, 0.666, 0.001], [0.334, 0.334, 0.999]],
  "formation_energy_mev_per_atom": -302,
  "dos_ef_per_ev_atom": 0.89,
  "magnetic_moment_mub_per_cell": 0.000,
  "sg": "R-3m (166)"
}



2.
{
  "formula": "Sm3H2I2",
  "functional": "PBE-GGA",
  "state": "relaxed",
  "lattice": [[3.743, -0.001, -0.002], [-1.860, 6.106, -0.376], [-0.010, -1.318, 7.883]],
  "species": ["Sm", "Sm", "Sm", "H", "H", "I", "I"],
  "frac_coords": [[0.000, 0.000, 0.000], [0.757, 0.513, 0.188], [0.243, 0.487, 0.812], [0.626, 0.254, 0.925], [0.374, 0.746, 0.075], [0.884, 0.771, 0.613], [0.116, 0.229, 0.387]],
  "dos_ef_per_ev_atom": 0.80,
  "total_energy_ev_per_atom": -4.04,
  "magnetic_moment_mub_per_cell": 0.000,
  "sg": "P-1 (2)"
}